1.
# NaSrPO4

A PBEsol-optimized structure of NaSrPO4 (SCAN, Alexandria).

```
data_NaSrPO4
_chemical_formula_sum 'Na4 Sr4 P4 O16'
_space_group_name_H-M_alt 'P n m a'
_space_group_IT_number 62
_space_group_name_Hall '-P 2ac 2n'
_cell_length_a 7.040
_cell_length_b 5.428
_cell_length_c 9.667
_cell_angle_alpha 90.00
_cell_angle_beta 90.00
_cell_angle_gamma 90.00
loop_
_atom_site_label
_atom_site_type_symbol
_atom_site_fract_x
_atom_site_fract_y
_atom_site_fract_z
Na1 Na 0.168 0.250 0.059
Sr1 Sr 0.003 0.750 0.301
P1 P 0.226 0.250 0.420
O1 O 0.006 0.250 0.427
O2 O 0.189 0.750 0.069
O3 O 0.204 0.516 0.844
```

* raw formation energy: -2.91 eV/atom

2.
# Na2TbPWO8

A PBEsol-optimized structure of Na2TbPWO8 (SCAN, Alexandria).

```
data_Na2TbPWO8
_chemical_formula_sum 'Na16 Tb8 P8 W8 O64'
_space_group_name_H-M_alt 'I b c a'
_space_group_IT_number 73
_space_group_name_Hall '-I 2b 2c'
_cell_length_a 6.909
_cell_length_b 12.099
_cell_length_c 18.003
_cell_angle_alpha 90.00
_cell_angle_beta 90.00
_cell_angle_gamma 90.00
loop_
_atom_site_label
_atom_site_type_symbol
_atom_site_fract_x
_atom_site_fract_y
_atom_site_fract_z
Na1 Na 0.007 0.050 0.155
Tb1 Tb 0.250 0.179 0.500
P1 P 0.250 0.068 0.000
W1 W 0.000 0.250 0.322
O1 O 0.038 0.129 0.768
O2 O 0.075 0.148 0.007
O3 O 0.211 0.227 0.379
O4 O 0.240 0.008 0.569
```

* raw formation energy: -2.77 eV/atom

3.
# NaTePO2

A PBEsol-optimized structure of NaTePO2 (SCAN, Alexandria).

```
data_NaTePO2
_chemical_formula_sum 'Na1 Te1 P1 O2'
_space_group_name_H-M_alt 'P 4/m m m'
_space_group_IT_number 123
_space_group_name_Hall '-P 4 2'
_cell_length_a 4.037
_cell_length_b 4.037
_cell_length_c 5.119
_cell_angle_alpha 90.00
_cell_angle_beta 90.00
_cell_angle_gamma 90.00
loop_
_atom_site_label
_atom_site_type_symbol
_atom_site_fract_x
_atom_site_fract_y
_atom_site_fract_z
Na1 Na 0.000 0.000 0.000
Te1 Te 0.500 0.500 0.500
P1 P 0.000 0.000 0.500
O1 O 0.000 0.500 0.000
```

* raw formation energy: 0.61 eV/atom